Compound: K3Ti2Cl9
Source: the Alexandria database
Functional: GGA-PBE
Structure: optimized geometry

Properties
formation energy from raw total energies = -24.7 eV/f.u.
calculated density = 2.28 g/cm3
symmetry = No. 167
density of states at the Fermi level = 17.11 states/eV per cell

Cell: 9.2584 9.2584 9.2584 Å, 82.34 82.34 82.34°
Atoms (fractional coordinates):
K: 0.4060 0.7500 0.0940
K: 0.2500 0.9060 0.5940
K: 0.9060 0.5940 0.2500
K: 0.0940 0.4060 0.7500
K: 0.7500 0.0940 0.4060
K: 0.5940 0.2500 0.9060
Ti: 0.1650 0.1650 0.1650
Ti: 0.6650 0.6650 0.6650
Ti: 0.8350 0.8350 0.8350
Ti: 0.3350 0.3350 0.3350
Cl: 0.7371 0.9036 0.0685
Cl: 0.0964 0.9315 0.2629
Cl: 0.2500 0.4117 0.0883
Cl: 0.5964 0.7629 0.4315
Cl: 0.5883 0.9117 0.7500
Cl: 0.9117 0.7500 0.5883
Cl: 0.2371 0.5685 0.4036
Cl: 0.5685 0.4036 0.2371
Cl: 0.9315 0.2629 0.0964
Cl: 0.0685 0.7371 0.9036
Cl: 0.4315 0.5964 0.7629
Cl: 0.4117 0.0883 0.2500
Cl: 0.7629 0.4315 0.5964
Cl: 0.0883 0.2500 0.4117
Cl: 0.4036 0.2371 0.5685
Cl: 0.7500 0.5883 0.9117
Cl: 0.9036 0.0685 0.7371
Cl: 0.2629 0.0964 0.9315



Compound: Tc2TeSe
Source: the Alexandria database
Functional: GGA-PBE
Structure: optimized geometry

Properties
formation energy from raw total energies = 1.2 eV/f.u.
offset from the most stable computed form = 0.318 eV per atom
calculated density = 9.73 g/cm3
symmetry = No. 10
density of states at the Fermi level = 3.11 states/eV per cell

Cell: 3.1557 5.4583 5.4164 Å, 47.41 90.00 90.00°
Atoms (fractional coordinates):
Se: 0.0000 0.0000 0.5000
Tc: 0.0000 0.0000 0.0000
Tc: 0.5000 0.5000 0.0000
Te: 0.5000 0.5000 0.5000